LiVBO3 GGA-PBEsol optimized geometry; SG = P-6 (174)
1.0
7.945 0.000 0.000
-3.973 6.881 0.000
0.000 0.000 3.160
Li V B O
3 3 3 9
Cartesian
-2.680 5.102 0.000
0.894 2.009 0.000
1.786 6.650 0.000
3.102 0.182 1.580
2.579 4.103 1.580
6.237 2.596 1.580
0.000 0.000 1.580
0.000 4.587 0.000
3.973 2.294 0.000
-0.072 1.385 1.580
-2.737 6.251 1.580
-1.158 3.833 0.000
-0.074 5.967 0.000
1.232 3.962 0.000
2.783 1.554 0.000
3.927 3.694 0.000
5.208 1.633 0.000
2.809 6.126 1.580

***

Li3VBO5 GGA-PBEsol optimized geometry; SG = Pna2_1 (33)
1.0
4.808 0.000 0.000
0.000 16.159 0.000
0.000 0.000 4.631
Li V B O
12 4 4 20
Cartesian
0.652 3.375 0.000
0.850 16.042 0.095
1.047 9.910 0.110
1.357 1.831 2.426
1.554 7.963 2.410
1.752 11.455 2.315
3.056 4.704 0.000
3.253 8.196 0.095
3.451 14.328 0.110
3.761 6.249 2.426
3.958 0.116 2.410
4.156 12.783 2.315
0.719 6.441 0.089
1.685 14.521 2.404
3.123 1.638 0.089
4.089 9.718 2.404
0.985 12.799 4.617
1.418 4.719 2.301
3.389 11.440 4.617
3.822 3.360 2.301
0.448 3.645 2.741
0.960 9.794 2.695
1.002 6.033 2.899
1.007 12.953 3.159
1.011 16.078 2.725
1.396 4.873 0.843
1.393 7.998 0.410
1.402 14.112 0.583
1.443 1.714 0.379
1.956 11.724 0.425
2.851 4.435 2.741
3.364 14.445 2.695
3.405 2.047 2.899
3.415 8.160 2.725
3.411 11.285 3.159
3.796 0.081 0.410
3.800 3.206 0.843
3.806 10.126 0.583
3.847 6.365 0.379
4.360 12.514 0.425

***

Li3VB2O6 GGA-PBEsol optimized geometry; SG = P-1 (2)
1.0
5.095 0.000 0.000
0.109 5.752 0.000
0.151 1.189 7.587
Li V B O
6 2 4 12
Cartesian
0.847 0.365 1.936
0.975 2.593 6.929
1.781 1.758 4.573
3.573 5.183 3.014
4.379 4.347 0.658
4.507 6.576 5.652
1.859 3.162 1.939
3.495 3.778 5.649
0.985 4.447 4.387
1.975 5.825 6.955
3.379 1.116 0.632
4.369 2.493 3.200
0.629 2.214 3.059
1.298 6.613 6.090
1.207 4.264 0.578
1.602 3.685 5.383
1.687 4.859 3.278
2.051 1.504 0.831
3.303 5.437 6.756
3.667 2.081 4.309
3.752 3.255 2.205
4.147 2.676 7.009
4.056 0.327 1.497
4.725 4.726 4.528

***

| no. | volume (Å³ per atom) | E_form (uncorrected) (eV/atom) | density (g cm⁻³) |
| --- | --- | --- | --- |
| 1 | 9.6 | -2.02 | 3.36 |
| 2 | 9.0 | -2.28 | 3.00 |
| 3 | 9.3 | -2.28 | 2.83 |